DFT (PBE-GGA) results for a geometry-optimized Pa2BeS structure.

Cell lengths 4.0017, 4.0017, 6.5245 Å; angles 72.14, 72.14, 60.00 degrees
Closest atoms and distances in Å follow each position.
Sites, in units of the cell vectors:
Be  0.0000  0.0000  0.0000  6 Pa 2.73
S  0.5000  0.5000  0.5000  6 Pa 2.81
Pa  0.2538  0.2538  0.2385  3 Be 2.73, 3 S 2.81
Pa  0.7462  0.7462  0.7615  3 Be 2.73, 3 S 2.81

Values from the calculation:
DOS at the Fermi energy in states/eV per atom: 1.6118
Total moment in μB per cell: 0.0
ΔE_f (raw) in eV per atom: -0.450

***

DFT (PBE-GGA) results for a geometry-optimized PaBeS2 structure.

Cell lengths 3.4751, 3.4751, 7.8081 Å; angles 77.14, 77.14, 60.00 degrees
Closest atoms and distances in Å follow each position.
Sites, in units of the cell vectors:
Be  0.5000  0.5000  0.5000  6 S 2.33
S  0.1141  0.1141  0.6576  3 Be 2.33, 1 Pa 2.58
S  0.8859  0.8859  0.3424  3 Be 2.33, 1 Pa 2.58
Pa  0.0000  0.0000  0.0000  2 S 2.58

Values from the calculation:
DOS at the Fermi energy in states/eV per atom: 0.6310
Total moment in μB per cell: 0.0
ΔE_f (raw) in eV per atom: -0.400

***

DFT (PBE-GGA) results for a geometry-optimized Sr2PaBeS5 structure.

Cell lengths 3.9338, 8.8630, 12.5180 Å; angles 90.00, 90.00, 102.82 degrees
Closest atoms and distances in Å follow each position.
Sites, in units of the cell vectors:
Sr  0.8848  0.7696  0.8403  6 S 2.94-3.16
Sr  0.1149  0.2299  0.6918  7 S 2.96-3.25
Sr  0.1152  0.2304  0.3403  6 S 2.94-3.16
Sr  0.8851  0.7701  0.1918  7 S 2.96-3.25
Pa  0.8071  0.6142  0.5279  6 S 2.66-2.76
Pa  0.1929  0.3858  0.0279  6 S 2.66-2.76
Be  0.5606  0.1213  0.9163  2 S 2.04-2.19
Be  0.4394  0.8787  0.4163  2 S 2.04-2.19
S  0.3465  0.6930  0.0163  1 Pa 2.66
S  0.6835  0.3670  0.8737  1 Be 2.19
S  0.5022  0.0044  0.7752  1 Be 2.04
S  0.3025  0.6050  0.6784  2 Pa 2.72
S  0.9606  0.9211  0.5040  2 Be 2.28
S  0.6535  0.3070  0.5163  1 Pa 2.66
S  0.3165  0.6330  0.3737  1 Be 2.19
S  0.4978  0.9956  0.2752  1 Be 2.04
S  0.6975  0.3950  0.1784  2 Pa 2.72
S  0.0394  0.0789  0.0040  2 Be 2.28

Values from the calculation:
DOS at the Fermi energy in states/eV per atom: 0.3950
Total moment in μB per cell: 2.0
ΔE_f (raw) in eV per atom: -1.686

***

DFT (PBE-GGA) results for a geometry-optimized PaBeTl2S5 structure.

Cell lengths 3.9514, 9.0346, 13.2283 Å; angles 90.00, 90.00, 102.63 degrees
Closest atoms and distances in Å follow each position.
Sites, in units of the cell vectors:
Pa  0.8009  0.6017  0.5330  6 S 2.61-2.69
Pa  0.1991  0.3983  0.0330  6 S 2.61-2.69
Be  0.5737  0.1474  0.9172  4 S 2.05-2.30
Be  0.4263  0.8526  0.4172  4 S 2.05-2.30
Tl  0.8921  0.7843  0.8459  4 S 3.03-3.16
Tl  0.0877  0.1754  0.6628  4 S 2.86-2.95
Tl  0.1079  0.2157  0.3459  4 S 3.03-3.16
Tl  0.9123  0.8246  0.1628  4 S 2.86-2.95
S  0.3469  0.6938  0.0218  1 Pa 2.61
S  0.6932  0.3863  0.8954  1 Be 2.13
S  0.5136  0.0272  0.7841  1 Be 2.05
S  0.3025  0.6049  0.6632  2 Pa 2.62
S  0.9496  0.8992  0.5006  2 Be 2.30
S  0.6531  0.3062  0.5218  1 Pa 2.61
S  0.3068  0.6137  0.3954  1 Be 2.13
S  0.4864  0.9728  0.2841  1 Be 2.05
S  0.6975  0.3951  0.1632  2 Pa 2.62
S  0.0504  0.1008  0.0006  2 Be 2.30

Values from the calculation:
DOS at the Fermi energy in states/eV per atom: 0.3885
Total moment in μB per cell: 0.0
ΔE_f (raw) in eV per atom: -0.884

***

Question: Among the records above, which one has the highest total moment?
Answer: Sr2PaBeS5